# 1
The following is a PBE calculation of a relaxed Tb3Pb3C crystal, from Alexandria.

Geometry as extended XYZ:
```
14
Lattice="6.657 0.355 -0.091 -2.648 6.118 -0.091 -0.690 -1.114 9.276" Properties=species:S:1:pos:R:3 pbc="T T T"
Tb 0.002 0.004 8.197
Tb 0.888 4.834 6.725
Tb 3.316 5.354 0.897
Tb 2.430 0.524 2.369
Tb -0.614 2.409 2.369
Tb 3.932 2.949 6.725
Pb -1.590 4.692 4.547
Pb 1.044 1.686 5.553
Pb 4.909 0.666 4.547
Pb 0.003 4.476 -0.091
Pb 2.274 3.672 3.540
Pb 4.006 1.996 -0.091
C 0.531 0.858 1.203
C 2.787 4.500 7.891
```

Properties
**Space group**: No. 12
**DOS at the Fermi energy**: 6.78 states/eV per cell
**Total magnetic moment**: 0.0 Bohr magnetons per cell
**E**: -5.1747 eV per atom
**ΔE_f**: -283 meV per atom

# 2
The following is a PBE calculation of a relaxed Tb2PbC crystal, from Alexandria.

Geometry as extended XYZ:
```
4
Lattice="-2.270 -1.662 2.347 3.621 -0.154 0.534 -0.059 7.920 2.691" Properties=species:S:1:pos:R:3 pbc="T T T"
Tb -0.304 5.631 3.693
Tb 1.596 0.472 1.879
Pb 1.781 3.883 1.613
C -2.329 6.258 5.038
```

Properties
**Space group**: No. 166
**DOS at the Fermi energy**: 1.23 states/eV per cell
**Total magnetic moment**: 0.0 Bohr magnetons per cell
**E**: -6.0174 eV per atom
**ΔE_f**: -469 meV per atom